[1]
Here is HgP2Pb after structural relaxation from Alexandria. Energies are from PBEsol.

```
HgP2Pb
1.0
-4.7528 -3.5521 -0.4794
-0.1763 -0.5635 5.9235
-1.1166 6.8030 -2.3772
P Pb Hg
4 2 2
Direct
0.3871 0.8750 0.2500
0.8629 0.3750 0.2500
0.1250 0.1371 0.7500
0.6250 0.6129 0.7500
0.2500 0.7500 0.5000
0.0000 0.0000 0.0000
0.7500 0.2500 0.5000
0.5000 0.5000 0.0000
```

Symmetry: No. 122
Distance to the lowest polymorph of the same formula (meV per atom): 0
Formation enthalpy at 0 K (meV per atom): 233.6
Electronic total energy (eV for the cell shown): -30.43

---

[2]
Here is Ca2BiTe after structural relaxation from Alexandria. Energies are from PBEsol.

```
Ca2BiTe
1.0
5.5000 0.0000 0.0000
2.7500 4.7632 0.0000
2.7500 1.5877 4.4908
Ca Bi Te
2 1 1
Direct
0.7500 0.7500 0.7500
0.2500 0.2500 0.2500
0.5000 0.5000 0.5000
0.0000 0.0000 0.0000
```

Symmetry: No. 225
Uncorrected formation energy (meV/atom): -954
Electronic total energy (eV for the cell shown): -15.89

---

[3]
Here is MgTlHg after structural relaxation from Alexandria. Energies are from PBEsol.

```
MgTlHg
1.0
3.5184 -0.0041 -0.0106
-0.0591 3.5183 -0.0105
-1.7449 -1.7724 5.7063
Hg Mg Tl
1 1 1
Direct
0.0146 0.0146 0.0295
0.6532 0.6532 0.3052
0.3323 0.3323 0.6653
```

Symmetry: No. 8
Formation enthalpy at 0 K (meV per atom): -119.3
Electronic total energy (eV for the cell shown): -5.27

---

[4]
Here is Ce2ZnIn after structural relaxation from Alexandria. Energies are from PBEsol.

```
Ce2ZnIn
1.0
5.2002 0.0000 0.0000
2.6001 4.5035 0.0000
2.6001 1.5012 4.2460
In Ce Zn
1 2 1
Direct
0.5000 0.5000 0.5000
0.7500 0.7500 0.7500
0.2500 0.2500 0.2500
0.0000 0.0000 0.0000
```

Symmetry: No. 225
Formation enthalpy at 0 K (meV per atom): -153.2
Electronic total energy (eV for the cell shown): -18.37

---

[5]
Here is LaCdOs2 after structural relaxation from Alexandria. Energies are from PBEsol.

```
LaCdOs2
1.0
2.9058 0.0000 0.0000
0.0000 2.9058 0.0000
0.0000 0.0000 8.6782
Os Cd La
2 1 1
Direct
0.0000 0.0000 0.2285
0.0000 0.0000 0.7715
0.5000 0.5000 0.0000
0.5000 0.5000 0.5000
```

Symmetry: No. 123
Formation enthalpy at 0 K (meV per atom): 834.2
Electronic total energy (eV for the cell shown): -27.64

---

[6]
Here is NaCaSN2 after structural relaxation from Alexandria. Energies are from PBEsol.

```
NaCaSN2
1.0
4.6241 0.0000 0.0000
0.0000 4.6241 0.0000
0.0000 0.0000 5.3626
N S Na Ca
2 1 1 1
Direct
0.0000 0.5000 0.0000
0.5000 0.0000 0.0000
0.0000 0.0000 0.5000
0.5000 0.5000 0.5000
0.0000 0.0000 0.0000
```

Symmetry: No. 123
Uncorrected formation energy (meV/atom): 855
Electronic total energy (eV for the cell shown): -20.69

---

Which of these has the lowest electronic total energy? HgP2Pb